(1)
A geometry-optimized HfBAu structure, computed with PBE.

DFT formation energy: -2.1 eV/f.u.

Unit cell a=3.5862 b=14.8043 c=3.2267 alpha=90.00 beta=90.00 gamma=90.00
Closest atoms and distances in Å follow each position.
Fractional coordinates of all 12 atoms:
Hf1 0.0000 0.0881 0.2500  6 B 2.48-2.57
Hf2 0.0000 0.9119 0.7500  6 B 2.48-2.57
Hf3 0.5000 0.4119 0.7500  6 B 2.48-2.57
Hf4 0.5000 0.5881 0.2500  6 B 2.48-2.57
B1 0.0000 0.4720 0.2500  2 B 1.81
B2 0.0000 0.5280 0.7500  2 B 1.81
B3 0.5000 0.0280 0.7500  2 B 1.81
B4 0.5000 0.9720 0.2500  2 B 1.81
Au1 0.0000 0.3027 0.2500  1 B 2.51
Au2 0.0000 0.6973 0.7500  1 B 2.51
Au3 0.5000 0.1973 0.7500  1 B 2.51
Au4 0.5000 0.8027 0.2500  1 B 2.51


(2)
A geometry-optimized Ho2GePbO6 structure, computed with PBE.

formation energy (no corrections): -2.22 eV per atom

Unit cell a=5.3411 b=5.3411 c=5.5089 alpha=90.00 beta=90.00 gamma=90.00
Closest atoms and distances in Å follow each position.
Fractional coordinates of all 10 atoms:
Ho1 0.0000 0.5000 0.0000  4 O 2.24
Ho2 0.5000 0.0000 0.0000  4 O 2.24
Ge1 0.0000 0.0000 0.6475  5 O 1.79-1.88
Pb1 0.5000 0.5000 0.5498  5 O 2.34-2.42
O1 0.0000 0.0000 0.3224  1 Ge 1.79
O2 0.2289 0.2289 0.7835  1 Ge 1.88
O3 0.2289 0.7711 0.7835  1 Ge 1.88
O4 0.5000 0.5000 0.1247  1 Pb 2.34
O5 0.7711 0.2289 0.7835  1 Ge 1.88
O6 0.7711 0.7711 0.7835  1 Ge 1.88


(3)
A geometry-optimized InBiH2 structure, computed with PBE.

energy relative to the lowest polymorph listed for this composition: 6.609 kcal/mol of atoms

Unit cell a=5.8744 b=5.8744 c=8.4200 alpha=90.00 beta=90.00 gamma=90.00
Closest atoms and distances in Å follow each position.
Fractional coordinates of all 16 atoms:
In1 0.0000 0.0000 0.0000  4 H 1.90
In2 0.0000 0.5000 0.2500  4 H 1.90
In3 0.5000 0.0000 0.7500  4 H 1.90
In4 0.5000 0.5000 0.5000  4 H 1.90
Bi1 0.0000 0.0000 0.5000  4 H 2.95
Bi2 0.0000 0.5000 0.7500  4 H 2.95
Bi3 0.5000 0.0000 0.2500  4 H 2.95
Bi4 0.5000 0.5000 0.0000  4 H 2.95
H1 0.1023 0.2500 0.1250  2 In 1.90
H2 0.2500 0.6023 0.3750  2 In 1.90
H3 0.2500 0.8977 0.8750  2 In 1.90
H4 0.3977 0.2500 0.6250  2 In 1.90
H5 0.6023 0.7500 0.6250  2 In 1.90
H6 0.7500 0.1023 0.8750  2 In 1.90
H7 0.7500 0.3977 0.3750  2 In 1.90
H8 0.8977 0.7500 0.1250  2 In 1.90


(4)
A geometry-optimized LiLaPrNi structure, computed with PBE.

DFT formation energy: -0.1 eV/f.u.

Unit cell a=7.2879 b=7.2879 c=7.2879 alpha=90.00 beta=90.00 gamma=90.00
Closest atoms and distances in Å follow each position.
Fractional coordinates of all 16 atoms:
Li1 0.0000 0.0000 0.0000  4 La 3.16, 4 Pr 3.16
Li2 0.0000 0.5000 0.5000  4 La 3.16, 4 Pr 3.16
Li3 0.5000 0.0000 0.5000  4 La 3.16, 4 Pr 3.16
Li4 0.5000 0.5000 0.0000  4 La 3.16, 4 Pr 3.16
La1 0.2500 0.2500 0.7500  4 Li 3.16, 4 Ni 3.16
La2 0.2500 0.7500 0.2500  4 Li 3.16, 4 Ni 3.16
La3 0.7500 0.2500 0.2500  4 Li 3.16, 4 Ni 3.16
La4 0.7500 0.7500 0.7500  4 Li 3.16, 4 Ni 3.16
Pr1 0.2500 0.2500 0.2500  4 Li 3.16, 4 Ni 3.16
Pr2 0.2500 0.7500 0.7500  4 Li 3.16, 4 Ni 3.16
Pr3 0.7500 0.2500 0.7500  4 Li 3.16, 4 Ni 3.16
Pr4 0.7500 0.7500 0.2500  4 Li 3.16, 4 Ni 3.16
Ni1 0.0000 0.0000 0.5000  4 La 3.16, 4 Pr 3.16
Ni2 0.0000 0.5000 0.0000  4 La 3.16, 4 Pr 3.16
Ni3 0.5000 0.0000 0.0000  4 La 3.16, 4 Pr 3.16
Ni4 0.5000 0.5000 0.5000  4 La 3.16, 4 Pr 3.16


(5)
A geometry-optimized Pm2MnCo structure, computed with PBE.

DFT formation energy: 0.7 eV/f.u.

Unit cell a=3.4908 b=3.4908 c=7.2869 alpha=90.00 beta=90.00 gamma=90.00
Closest atoms and distances in Å follow each position.
Fractional coordinates of all 4 atoms:
Pm1 0.0000 0.0000 0.2336  4 Co 3.00, 4 Mn 3.14
Pm2 0.0000 0.0000 0.7664  4 Co 3.00, 4 Mn 3.14
Mn1 0.5000 0.5000 0.5000  8 Pm 3.14, 4 Mn 3.49
Co1 0.5000 0.5000 0.0000  8 Pm 3.00


(6)
A geometry-optimized ZnCr5 structure, computed with PBE.

DFT formation energy: 1.8 eV/f.u.
energy relative to the lowest polymorph listed for this composition: 3.689 kcal/mol of atoms

Unit cell a=4.2538 b=2.3614 c=14.4279 alpha=90.00 beta=90.00 gamma=90.00
Closest atoms and distances in Å follow each position.
Fractional coordinates of all 12 atoms:
Zn1 0.0000 0.0000 0.0000  2 Zn 2.36, 2 Cr 2.56
Zn2 0.0000 0.5000 0.5000  2 Zn 2.36, 2 Cr 2.56
Cr1 0.0000 0.0000 0.3317  8 Cr 2.36-2.63
Cr2 0.0000 0.0000 0.6642  4 Cr 2.36-2.50
Cr3 0.0000 0.5000 0.1642  4 Cr 2.36-2.50
Cr4 0.0000 0.5000 0.8317  8 Cr 2.36-2.63
Cr5 0.5000 0.0000 0.2389  6 Cr 2.36-2.63
Cr6 0.5000 0.0000 0.5726  4 Cr 2.36-2.50
Cr7 0.5000 0.0000 0.9015  8 Cr 2.36-2.63, 2 Zn 2.56
Cr8 0.5000 0.5000 0.0726  4 Cr 2.36-2.50
Cr9 0.5000 0.5000 0.4015  8 Cr 2.36-2.63, 2 Zn 2.56
Cr10 0.5000 0.5000 0.7389  6 Cr 2.36-2.63


(7)
A geometry-optimized Tl5Cl structure, computed with PBE.

formation energy (no corrections): -0.19 eV per atom
energy relative to the lowest polymorph listed for this composition: 1.031 kcal/mol of atoms

Unit cell a=5.9597 b=5.9597 c=5.9391 alpha=90.00 beta=90.00 gamma=120.00
Closest atoms and distances in Å follow each position.
Fractional coordinates of all 6 atoms:
Tl1 0.0000 0.6743 0.0000  10 Tl 3.36-3.59, 2 Cl 3.55
Tl2 0.3257 0.3257 0.0000  10 Tl 3.36-3.59, 2 Cl 3.55
Tl3 0.3333 0.6667 0.5000  3 Cl 3.44, 9 Tl 3.44-3.59
Tl4 0.6667 0.3333 0.5000  3 Cl 3.44, 9 Tl 3.44-3.59
Tl5 0.6743 0.0000 0.0000  10 Tl 3.36-3.59, 2 Cl 3.55
Cl1 0.0000 0.0000 0.5000  12 Tl 3.44-3.55


(8)
A geometry-optimized HPb2Br structure, computed with PBE.

energy relative to the lowest polymorph listed for this composition: 5.913 kcal/mol of atoms

Unit cell a=7.4040 b=7.4040 c=7.4040 alpha=90.00 beta=90.00 gamma=90.00
Closest atoms and distances in Å follow each position.
Fractional coordinates of all 16 atoms:
H1 0.0000 0.0000 0.0000  8 Pb 3.21
H2 0.0000 0.5000 0.5000  8 Pb 3.21
H3 0.5000 0.0000 0.5000  8 Pb 3.21
H4 0.5000 0.5000 0.0000  8 Pb 3.21
Pb1 0.2500 0.2500 0.2500  4 H 3.21, 4 Br 3.21
Pb2 0.2500 0.2500 0.7500  4 Br 3.21, 4 H 3.21
Pb3 0.2500 0.7500 0.2500  4 Br 3.21, 4 H 3.21
Pb4 0.2500 0.7500 0.7500  4 H 3.21, 4 Br 3.21
Pb5 0.7500 0.2500 0.2500  4 Br 3.21, 4 H 3.21
Pb6 0.7500 0.2500 0.7500  4 H 3.21, 4 Br 3.21
Pb7 0.7500 0.7500 0.2500  4 H 3.21, 4 Br 3.21
Pb8 0.7500 0.7500 0.7500  4 Br 3.21, 4 H 3.21
Br1 0.0000 0.0000 0.5000  8 Pb 3.21
Br2 0.0000 0.5000 0.0000  8 Pb 3.21
Br3 0.5000 0.0000 0.0000  8 Pb 3.21
Br4 0.5000 0.5000 0.5000  8 Pb 3.21


(9)
A geometry-optimized Ac6Si2CI3 structure, computed with PBE.

formation energy (no corrections): -0.79 eV per atom

Unit cell a=7.6564 b=7.6564 c=8.6817 alpha=98.45 beta=98.45 gamma=119.94
Closest atoms and distances in Å follow each position.
Fractional coordinates of all 12 atoms:
Ac1 0.0626 0.3701 0.1883  1 C 2.83, 2 Si 3.08-3.09
Ac2 0.2437 0.2437 0.8094  1 C 2.84, 2 Si 3.09
Ac3 0.3701 0.0626 0.1883  1 C 2.83, 2 Si 3.08-3.09
Ac4 0.6299 0.9374 0.8117  1 C 2.83, 2 Si 3.08-3.09
Ac5 0.7563 0.7563 0.1906  1 C 2.84, 2 Si 3.09
Ac6 0.9374 0.6299 0.8117  1 C 2.83, 2 Si 3.08-3.09
Si1 0.3339 0.6661 0.0000  6 Ac 3.08-3.09
Si2 0.6661 0.3339 0.0000  6 Ac 3.08-3.09
C1 0.0000 0.0000 0.0000  6 Ac 2.83-2.84
I1 0.1731 0.8269 0.5000  6 Ac 3.57-3.72
I2 0.5000 0.5000 0.5000  6 Ac 3.57-3.76
I3 0.8269 0.1731 0.5000  6 Ac 3.57-3.72


(10)
A geometry-optimized Pm3SmEr8 structure, computed with PBE.

DFT formation energy: 3.6 eV/f.u.

Unit cell a=8.6279 b=8.6279 c=8.6279 alpha=136.42 beta=98.40 gamma=97.44
Closest atoms and distances in Å follow each position.
Fractional coordinates of all 12 atoms:
Pm1 0.0000 0.0000 0.0000  8 Er 3.25-3.43
Pm2 0.2505 0.7505 0.5000  6 Er 3.72-3.73
Pm3 0.7495 0.2495 0.5000  6 Er 3.72-3.73
Sm1 0.5000 0.5000 0.0000  8 Er 3.24-3.43
Er1 0.0799 0.2501 0.8298  6 Er 3.39-3.67, 1 Sm 3.43, 4 Pm 3.43-3.73
Er2 0.2508 0.2497 0.5004  6 Er 3.20-3.39, 1 Sm 3.24, 1 Pm 3.25
Er3 0.2508 0.7503 0.0011  6 Er 3.20-3.39, 1 Sm 3.24, 1 Pm 3.25
Er4 0.4202 0.2501 0.1702  6 Er 3.39-3.67, 1 Sm 3.43, 4 Pm 3.43-3.73
Er5 0.5798 0.7499 0.8298  6 Er 3.39-3.67, 1 Sm 3.43, 4 Pm 3.43-3.73
Er6 0.7492 0.2497 0.9989  6 Er 3.20-3.39, 1 Sm 3.24, 1 Pm 3.25
Er7 0.7492 0.7503 0.4996  6 Er 3.20-3.39, 1 Sm 3.24, 1 Pm 3.25
Er8 0.9201 0.7499 0.1702  6 Er 3.39-3.67, 1 Sm 3.43, 4 Pm 3.43-3.73


(11)
A geometry-optimized GdAl2Cu structure, computed with PBE.

DFT formation energy: -1.4 eV/f.u.

Unit cell a=4.1634 b=4.1634 c=16.0093 alpha=90.00 beta=90.00 gamma=120.00
Closest atoms and distances in Å follow each position.
Fractional coordinates of all 12 atoms:
Gd1 0.0000 0.0000 0.0000  8 Al 3.12-3.35
Gd2 0.3333 0.6667 0.6667  8 Al 3.12-3.35
Gd3 0.6667 0.3333 0.3333  8 Al 3.12-3.35
Al1 0.0000 0.0000 0.2094  3 Cu 2.50, 3 Al 2.77
Al2 0.0000 0.0000 0.7906  3 Cu 2.50, 3 Al 2.77
Al3 0.3333 0.6667 0.4573  3 Cu 2.50, 3 Al 2.77
Al4 0.3333 0.6667 0.8760  3 Cu 2.50, 3 Al 2.77
Al5 0.6667 0.3333 0.1240  3 Cu 2.50, 3 Al 2.77
Al6 0.6667 0.3333 0.5427  3 Cu 2.50, 3 Al 2.77
Cu1 0.0000 0.0000 0.5000  6 Al 2.50
Cu2 0.3333 0.6667 0.1667  6 Al 2.50
Cu3 0.6667 0.3333 0.8333  6 Al 2.50


(12)
A geometry-optimized YAsIN2 structure, computed with PBE.

formation energy (no corrections): 0.91 eV per atom
energy relative to the lowest polymorph listed for this composition: 0.000 kcal/mol of atoms

Unit cell a=4.1765 b=4.1765 c=5.3096 alpha=90.00 beta=90.00 gamma=90.00
Closest atoms and distances in Å follow each position.
Fractional coordinates of all 5 atoms:
Y1 0.0000 0.0000 0.0000  4 I 2.95
As1 0.5000 0.5000 0.5000  4 N 2.09
I1 0.5000 0.5000 0.0000  2 As 2.65, 4 Y 2.95
N1 0.0000 0.5000 0.5000  2 As 2.09
N2 0.5000 0.0000 0.5000  2 As 2.09


Ordered N(E_F) results: 0.28 0.00 0.33 0.83 1.25 1.21 0.56 1.11 0.52 1.31 0.57 0.60; unit states/eV/atom.
Ordered calculated volume results: 42.8 157.2 72.6 96.8 88.8 72.5 182.7 101.5 421.5 411.1 80.1 92.6; unit Å³/f.u..